(1)
Ba3Ge2Sb4 after structural relaxation, computed with PBE-GGA. Values from VASP.

```
&SYSTEM
  ibrav = 0, nat = 18, ntyp = 3
/
ATOMIC_SPECIES
Ba 137.33 Ba.upf
Ge 72.64 Ge.upf
Sb 121.76 Sb.upf
ATOMIC_POSITIONS angstrom
Ba 7.563 4.804 5.494
Ba 5.685 1.604 0.481
Ba 9.455 1.604 3.182
Ba 5.679 -1.604 4.144
Ba 9.448 -1.604 6.844
Ba 7.570 -4.804 1.831
Ge 3.135 1.532 4.078
Ge 3.142 -1.532 0.415
Ge 11.992 1.532 6.910
Ge 11.998 -1.532 3.248
Sb 2.441 0.959 6.670
Sb 5.873 2.024 4.099
Sb 2.447 -0.959 3.008
Sb 9.254 2.024 6.889
Sb 5.879 -2.024 0.437
Sb 12.686 0.959 4.318
Sb 9.261 -2.024 3.226
Sb 12.693 -0.959 0.655
CELL_PARAMETERS angstrom
7.573 -6.102 0.000
7.573 6.102 0.000
-0.013 0.000 7.326
```

The calculation puts the calculated total energy at -36.74 eV/f.u. Its density of states at the Fermi level is 5.20 states/eV/cell. Its space group is C2/c. Its magnetization is 0.0 μB/cell. For the formation energy (no corrections), the calculation gives -0.5836 eV/atom.

=====

(2)
BaGeSb after structural relaxation, computed with PBE-GGA. Values from VASP.

```
&SYSTEM
  ibrav = 0, nat = 3, ntyp = 3
/
ATOMIC_SPECIES
Ba 137.33 Ba.upf
Ge 72.64 Ge.upf
Sb 121.76 Sb.upf
ATOMIC_POSITIONS angstrom
Ba 0.000 0.000 0.000
Ge 0.000 2.838 2.425
Sb 2.458 1.419 2.425
CELL_PARAMETERS angstrom
4.916 0.000 0.000
-2.458 4.257 0.000
0.000 0.000 4.850
```

The calculation puts the calculated total energy at -12.42 eV/f.u. Its density of states at the Fermi level is 1.04 states/eV/cell. Its space group is P-6m2. Its magnetization is 0.0 μB/cell. For the energy above the most stable polymorph in this dataset, the calculation gives 0 meV/atom. For the formation energy (no corrections), the calculation gives -0.5871 eV/atom.

=====

(3)
BaGe2Sb2 after structural relaxation, computed with PBE-GGA. Values from VASP.

```
&SYSTEM
  ibrav = 0, nat = 10, ntyp = 3
/
ATOMIC_SPECIES
Ba 137.33 Ba.upf
Ge 72.64 Ge.upf
Sb 121.76 Sb.upf
ATOMIC_POSITIONS angstrom
Ba 0.000 0.000 0.000
Ba 4.327 4.327 0.000
Ge 1.251 3.076 1.933
Ge 3.076 7.402 1.933
Ge 5.578 1.251 1.933
Ge 7.402 5.578 1.933
Sb 1.104 5.431 0.000
Sb 3.222 1.104 0.000
Sb 5.431 7.549 0.000
Sb 7.549 3.222 0.000
CELL_PARAMETERS angstrom
8.653 0.000 0.000
0.000 8.653 0.000
0.000 0.000 3.866
```

The calculation puts the calculated total energy at -19.73 eV/f.u. Its density of states at the Fermi level is 5.63 states/eV/cell. Its space group is P4/mbm. Its magnetization is 0.0 μB/cell. For the formation energy (no corrections), the calculation gives -0.0661 eV/atom.

=====

(4)
Ba2GeSbSe5 after structural relaxation, computed with PBE-GGA. Values from VASP.

```
&SYSTEM
  ibrav = 0, nat = 18, ntyp = 4
/
ATOMIC_SPECIES
Ba 137.33 Ba.upf
Ge 72.64 Ge.upf
Sb 121.76 Sb.upf
Se 78.96 Se.upf
ATOMIC_POSITIONS angstrom
Ba 2.261 7.159 6.586
Ba 2.261 6.999 1.813
Ba 2.261 -6.999 8.399
Ba 2.261 -7.159 0.000
Ge 2.261 0.980 3.194
Ge 2.261 -0.980 9.781
Sb 2.261 5.521 11.115
Sb 2.261 -5.521 4.528
Se 2.261 8.828 10.811
Se 2.261 3.873 6.325
Se 2.261 3.368 2.475
Se 2.261 2.885 10.798
Se 2.261 0.065 7.594
Se 2.261 -0.065 1.008
Se 2.261 -2.885 4.211
Se 2.261 -3.368 9.061
Se 2.261 -3.873 12.912
Se 2.261 -8.828 4.225
CELL_PARAMETERS angstrom
2.261 -9.363 0.000
2.261 9.363 0.000
0.000 0.000 13.173
```

The calculation puts the calculated total energy at -39.82 eV/f.u. Its density of states at the Fermi level is 2.50 states/eV/cell. Its space group is Cmc2_1. Its magnetization is 0.0 μB/cell. For the formation energy (no corrections), the calculation gives -1.0900 eV/atom.

=====

(5)
BaTi2GeSb after structural relaxation, computed with PBE-GGA. Values from VASP.

```
&SYSTEM
  ibrav = 0, nat = 5, ntyp = 4
/
ATOMIC_SPECIES
Ba 137.33 Ba.upf
Ti 47.87 Ti.upf
Ge 72.64 Ge.upf
Sb 121.76 Sb.upf
ATOMIC_POSITIONS angstrom
Ba 0.000 0.000 0.000
Ti 0.000 2.492 3.025
Ti 2.492 0.000 3.025
Ge 0.000 0.000 3.025
Sb 2.492 2.492 0.000
CELL_PARAMETERS angstrom
4.984 0.000 0.000
0.000 4.984 0.000
0.000 0.000 6.049
```

The calculation puts the calculated total energy at -25.53 eV/f.u. Its density of states at the Fermi level is 5.26 states/eV/cell. Its space group is P4/mmm. Its magnetization is 3.0 μB/cell. For the formation energy (no corrections), the calculation gives 0.1850 eV/atom.

=====

(6)
BaScGe3 after structural relaxation, computed with PBE-GGA. Values from VASP.

```
&SYSTEM
  ibrav = 0, nat = 5, ntyp = 3
/
ATOMIC_SPECIES
Ba 137.33 Ba.upf
Sc 44.96 Sc.upf
Ge 72.64 Ge.upf
ATOMIC_POSITIONS angstrom
Ba 0.000 0.000 0.000
Sc 2.599 2.599 2.599
Ge 0.000 2.599 2.599
Ge 2.599 0.000 2.599
Ge 2.599 2.599 0.000
CELL_PARAMETERS angstrom
5.198 0.000 0.000
0.000 5.198 0.000
0.000 0.000 5.198
```

The calculation puts the calculated total energy at -23.38 eV/f.u. Its formation energy is -0.2550 eV/atom. Its density of states at the Fermi level is 3.10 states/eV/cell. Its space group is Pm-3m. Its magnetization is 0.0 μB/cell. For the energy above the most stable polymorph in this dataset, the calculation gives 0 meV/atom.

=====

(7)
BaScGe3 after structural relaxation, computed with PBE-GGA. Values from VASP.

```
&SYSTEM
  ibrav = 0, nat = 5, ntyp = 3
/
ATOMIC_SPECIES
Ba 137.33 Ba.upf
Sc 44.96 Sc.upf
Ge 72.64 Ge.upf
ATOMIC_POSITIONS angstrom
Ba 0.000 0.000 0.000
Sc 2.780 2.780 2.780
Ge 0.000 0.000 2.780
Ge 0.000 2.780 0.000
Ge 2.780 0.000 0.000
CELL_PARAMETERS angstrom
5.560 0.000 0.000
0.000 5.560 0.000
0.000 0.000 5.560
```

The calculation puts the calculated total energy at -16.22 eV/f.u. Its formation energy is 1.1767 eV/atom. Its density of states at the Fermi level is 3.56 states/eV/cell. Its space group is Pm-3m. Its magnetization is 0.0 μB/cell. For the energy above the most stable polymorph in this dataset, the calculation gives 1432 meV/atom.

=====

(8)
BaScGe after structural relaxation, computed with PBE-GGA. Values from VASP.

```
&SYSTEM
  ibrav = 0, nat = 6, ntyp = 3
/
ATOMIC_SPECIES
Ba 137.33 Ba.upf
Sc 44.96 Sc.upf
Ge 72.64 Ge.upf
ATOMIC_POSITIONS angstrom
Ba 1.211 1.211 1.113
Ba 3.634 3.634 6.552
Sc 1.211 3.634 3.832
Sc 3.634 1.211 3.832
Ge 1.211 1.211 5.248
Ge 3.634 3.634 2.416
CELL_PARAMETERS angstrom
4.845 0.000 0.000
0.000 4.845 0.000
0.000 0.000 7.664
```

The calculation puts the calculated total energy at -14.64 eV/f.u. Its formation energy is -0.5886 eV/atom. Its density of states at the Fermi level is 5.93 states/eV/cell. Its space group is P4/nmm. Its magnetization is 0.8 μB/cell.

=====

(9)
Ba3ScGe after structural relaxation, computed with PBE-GGA. Values from VASP.

```
&SYSTEM
  ibrav = 0, nat = 5, ntyp = 3
/
ATOMIC_SPECIES
Ba 137.33 Ba.upf
Sc 44.96 Sc.upf
Ge 72.64 Ge.upf
ATOMIC_POSITIONS angstrom
Ba 0.000 0.000 3.215
Ba 0.000 3.215 0.000
Ba 3.215 0.000 0.000
Sc 3.215 3.215 3.215
Ge 0.000 0.000 0.000
CELL_PARAMETERS angstrom
6.430 0.000 0.000
0.000 6.430 0.000
0.000 0.000 6.430
```

The calculation puts the calculated total energy at -15.55 eV/f.u. Its formation energy is 0.2333 eV/atom. Its density of states at the Fermi level is 5.98 states/eV/cell. Its space group is Pm-3m. Its magnetization is 2.8 μB/cell. For the energy above the most stable polymorph in this dataset, the calculation gives 0 meV/atom.

=====

(10)
BaScGe after structural relaxation, computed with PBE-GGA. Values from VASP.

```
&SYSTEM
  ibrav = 0, nat = 6, ntyp = 3
/
ATOMIC_SPECIES
Ba 137.33 Ba.upf
Sc 44.96 Sc.upf
Ge 72.64 Ge.upf
ATOMIC_POSITIONS angstrom
Ba 1.148 1.152 1.859
Ba 3.455 3.457 7.924
Sc 1.149 3.457 4.892
Sc 3.454 1.152 4.892
Ge 1.150 1.152 6.483
Ge 3.453 3.457 3.301
CELL_PARAMETERS angstrom
4.609 0.000 0.000
0.000 4.610 0.000
-0.006 0.000 9.784
```

The calculation puts the calculated total energy at -14.60 eV/f.u. Its formation energy is -0.5776 eV/atom. Its density of states at the Fermi level is 4.61 states/eV/cell. Its space group is P2_1/m. Its magnetization is 1.5 μB/cell.

=====

(11)
Ba2ScGeSe after structural relaxation, computed with PBE-GGA. Values from VASP.

```
&SYSTEM
  ibrav = 0, nat = 5, ntyp = 4
/
ATOMIC_SPECIES
Ba 137.33 Ba.upf
Sc 44.96 Sc.upf
Ge 72.64 Ge.upf
Se 78.96 Se.upf
ATOMIC_POSITIONS angstrom
Ba 0.000 3.271 0.000
Ba 3.271 0.000 0.000
Sc 0.000 0.000 0.000
Ge 3.271 3.271 2.452
Se 0.000 0.000 2.452
CELL_PARAMETERS angstrom
6.543 0.000 0.000
0.000 6.543 0.000
0.000 0.000 4.904
```

The calculation puts the calculated total energy at -18.40 eV/f.u. Its density of states at the Fermi level is 5.64 states/eV/cell. Its space group is P4/mmm. Its magnetization is 1.1 μB/cell. For the formation energy (no corrections), the calculation gives -0.0233 eV/atom.

=====

(12)
BaScSi2Ge after structural relaxation, computed with PBE-GGA. Values from VASP.

```
&SYSTEM
  ibrav = 0, nat = 5, ntyp = 4
/
ATOMIC_SPECIES
Ba 137.33 Ba.upf
Sc 44.96 Sc.upf
Si 28.09 Si.upf
Ge 72.64 Ge.upf
ATOMIC_POSITIONS angstrom
Ba 0.000 0.000 0.000
Sc 2.716 2.716 2.753
Si 0.000 2.716 0.000
Si 2.716 0.000 0.000
Ge 0.000 0.000 2.753
CELL_PARAMETERS angstrom
5.432 0.000 0.000
0.000 5.432 0.000
0.000 0.000 5.506
```

The calculation puts the calculated total energy at -16.55 eV/f.u. Its density of states at the Fermi level is 3.45 states/eV/cell. Its space group is P4/mmm. Its magnetization is 0.0 μB/cell. For the formation energy (no corrections), the calculation gives 1.4330 eV/atom.